1.
The following is a DFT calculation (PBE-GGA) of a relaxed PrDyHoZn crystal. Values from VASP.

Geometry as Quantum ESPRESSO input:
```
&SYSTEM
  ibrav = 0, nat = 4, ntyp = 4
/
ATOMIC_SPECIES
Pr 140.91 Pr.upf
Zn 65.41 Zn.upf
Ho 164.93 Ho.upf
Dy 162.50 Dy.upf
CELL_PARAMETERS angstrom
-1.5741 -4.8027 -1.9029
3.6708 -3.8096 -1.0846
0.3427 -4.3883 3.1289
ATOMIC_POSITIONS crystal
Pr 0.7500 0.7500 0.7500
Zn 0.0000 0.0000 0.0000
Ho 0.5000 0.5000 0.5000
Dy 0.2500 0.2500 0.2500
```

Values from the calculation:
**M_tot**: 0.00 μB/f.u.
**Density of states at the Fermi level**: 5.113 states/eV/f.u.
**Relative energy among the computed polymorphs**: 0.827 eV/f.u.
**E_tot**: -15.1 eV per cell


2.
The following is a DFT calculation (PBE-GGA) of a relaxed SnIrOsC crystal. Values from VASP.

Geometry as Quantum ESPRESSO input:
```
&SYSTEM
  ibrav = 0, nat = 8, ntyp = 4
/
ATOMIC_SPECIES
C 12.01 C.upf
Ir 192.22 Ir.upf
Os 190.23 Os.upf
Sn 118.71 Sn.upf
CELL_PARAMETERS angstrom
-3.1587 2.9171 3.4948
-1.3791 -2.5197 0.8568
5.7297 -1.0853 6.0307
ATOMIC_POSITIONS crystal
C 0.9821 0.0000 0.4496
C 0.9821 0.5000 0.9496
Ir 0.7321 0.0000 0.9469
Ir 0.7321 0.5000 0.4469
Os 0.2170 0.0000 0.9468
Os 0.2170 0.5000 0.4468
Sn 0.4706 0.0000 0.2214
Sn 0.4706 0.5000 0.7214
```

Values from the calculation:
**M_tot**: 0.00 μB/f.u.
**Density of states at the Fermi level**: 1.381 states/eV/f.u.
**Relative energy among the computed polymorphs**: 0.566 eV/f.u.
**E_tot**: -62.6 eV per cell


3.
The following is a DFT calculation (PBE-GGA) of a relaxed Co2HgAu2 crystal. Values from VASP.

Geometry as Quantum ESPRESSO input:
```
&SYSTEM
  ibrav = 0, nat = 10, ntyp = 3
/
ATOMIC_SPECIES
Co 58.93 Co.upf
Au 196.97 Au.upf
Hg 200.59 Hg.upf
CELL_PARAMETERS angstrom
-2.1540 -6.4366 -0.8934
2.5718 -1.7088 6.1101
-3.0763 0.8180 1.5236
ATOMIC_POSITIONS crystal
Co 0.3821 0.8821 0.0000
Co 0.8821 0.6179 0.0000
Co 0.6179 0.1179 0.0000
Co 0.1179 0.3821 0.0000
Au 0.1716 0.6716 0.5000
Au 0.6716 0.8284 0.5000
Au 0.8284 0.3284 0.5000
Au 0.3284 0.1716 0.5000
Hg 0.0000 0.0000 0.0000
Hg 0.5000 0.5000 0.0000
```

Values from the calculation:
**M_tot**: 3.41 μB/f.u.
**Density of states at the Fermi level**: 3.985 states/eV/f.u.
**Relative energy among the computed polymorphs**: 0.000 eV/f.u.
**E_tot**: -38.9 eV per cell


4.
The following is a DFT calculation (PBE-GGA) of a relaxed PmPr3Tm2 crystal. Values from VASP.

Geometry as Quantum ESPRESSO input:
```
&SYSTEM
  ibrav = 0, nat = 12, ntyp = 3
/
ATOMIC_SPECIES
Pm 145.00 Pm.upf
Pr 140.91 Pr.upf
Tm 168.93 Tm.upf
CELL_PARAMETERS angstrom
-2.4580 -3.8064 7.8888
2.9530 -6.0255 -0.8385
4.9161 2.5233 3.8980
ATOMIC_POSITIONS crystal
Pm 0.7500 0.8910 0.1090
Pm 0.2500 0.1090 0.8910
Pr 0.2500 0.4395 0.5605
Pr 0.7500 0.5605 0.4395
Pr 0.9813 0.8555 0.6883
Pr 0.5187 0.3117 0.1445
Pr 0.4813 0.6883 0.8555
Pr 0.0187 0.1445 0.3117
Tm 0.6213 0.1200 0.6224
Tm 0.1213 0.6224 0.1200
Tm 0.8787 0.3776 0.8800
Tm 0.3787 0.8800 0.3776
```

Values from the calculation:
**M_tot**: 0.00 μB/f.u.
**Density of states at the Fermi level**: 9.260 states/eV/f.u.
**Relative energy among the computed polymorphs**: 0.000 eV/f.u.
**E_tot**: -55.4 eV per cell


5.
The following is a DFT calculation (PBE-GGA) of a relaxed BaY2Pt crystal. Values from VASP.

Geometry as Quantum ESPRESSO input:
```
&SYSTEM
  ibrav = 0, nat = 4, ntyp = 3
/
ATOMIC_SPECIES
Ba 137.33 Ba.upf
Pt 195.08 Pt.upf
Y 88.91 Y.upf
CELL_PARAMETERS angstrom
-4.6739 -0.4683 -2.2740
-2.2678 -0.1402 4.6982
-0.3761 4.0485 -0.0608
ATOMIC_POSITIONS crystal
Ba 0.5000 0.0000 0.5000
Pt 0.0000 0.5000 0.5000
Y 0.0000 0.0000 0.0000
Y 0.5000 0.5000 0.0000
```

Values from the calculation:
**M_tot**: 0.00 μB/f.u.
**Density of states at the Fermi level**: 4.022 states/eV/f.u.
**Relative energy among the computed polymorphs**: 1.951 eV/f.u.
**E_tot**: -21.1 eV per cell


6.
The following is a DFT calculation (PBE-GGA) of a relaxed CuTc2Cl crystal. Values from VASP.

Geometry as Quantum ESPRESSO input:
```
&SYSTEM
  ibrav = 0, nat = 4, ntyp = 3
/
ATOMIC_SPECIES
Tc 98.00 Tc.upf
Cu 63.55 Cu.upf
Cl 35.45 Cl.upf
CELL_PARAMETERS angstrom
-1.5029 -2.4945 -0.2120
2.4251 -1.5120 0.5992
-1.5503 0.3299 7.1069
ATOMIC_POSITIONS crystal
Tc 0.0000 0.0000 0.0199
Tc 0.5000 0.5000 0.2273
Cu 0.5000 0.5000 0.7668
Cl 0.0000 0.0000 0.4861
```

Values from the calculation:
**Formation energy without anion corrections**: 0.28 eV per atom
**M_tot**: 0.00 μB/f.u.
**Density of states at the Fermi level**: 4.227 states/eV/f.u.
**Relative energy among the computed polymorphs**: 0.414 eV/f.u.
**E_tot**: -25.6 eV per cell


Question: What is the relative energy among the computed polymorphs in the third record?
Answer: 0.000 eV/f.u.


Question: The lowest density of states at the Fermi level belongs to which entry?
Answer: SnIrOsC


Question: What is the formula in the fourth record?
Answer: PmPr3Tm2


Question: Which formula does entry 6 have?
Answer: CuTc2Cl